# 1
CdNi2Ag: relaxed, PBE-GGA.

Unit cell a=9.630 b=2.854 c=4.599 alpha=90.00 beta=109.35 gamma=90.00
Space group Cm (No. 8)
Unique sites:
Cd (0.000, 0.000, 0.000) (multiplicity 2)
Ni (0.257, 0.500, 0.200) (multiplicity 2)
Ni (0.465, 0.000, 0.474) (multiplicity 2)
Ag (0.221, 0.000, 0.670) (multiplicity 2)

Output
Its calculated total energy is -3.675 eV/atom. The calculation puts the formation energy at 0.16 eV/atom.

***

# 2
CdNiAg2: relaxed, PBE-GGA.

Unit cell a=2.878 b=4.647 c=5.102 alpha=90.00 beta=97.09 gamma=90.00
Space group P2/m (No. 10)
Unique sites:
Cd (0.000, 0.000, 0.000) (multiplicity 1)
Ni (0.500, 0.000, 0.500) (multiplicity 1)
Ag (0.287, 0.500, 0.737) (multiplicity 2)

Output
Its calculated total energy is -2.947 eV/atom. The calculation puts the formation energy at 0.15 eV/atom.

***

# 3
CdNiAg2: relaxed, PBE-GGA.

Unit cell a=2.973 b=2.973 c=7.586 alpha=90.00 beta=90.00 gamma=90.00
Space group P4mm (No. 99)
Unique sites:
Cd (0.000, 0.000, 0.000) (multiplicity 1)
Ni (0.500, 0.500, 0.226) (multiplicity 1)
Ag (0.000, 0.000, 0.447) (multiplicity 1)
Ag (0.500, 0.500, 0.715) (multiplicity 1)

Output
Its calculated total energy is -3.016 eV/atom. The calculation puts the formation energy at 0.08 eV/atom.